First-principles (PBE) data for crystalline Cs3GaMo at its relaxed geometry, as listed in Alexandria via LeMat-Bulk.

The structure belongs to space group Pm-3m (No. 221); the cell edges are 6.126, 6.126 and 6.126 Å and the angles 90.00°, 90.00° and 90.00°. The inequivalent atoms are Cs at (0.000, 0.000, 0.500), Ga at (0.500, 0.500, 0.500) and Mo at (0.000, 0.000, 0.000).

For the formation energy, the calculation gives 1.52 eV/atom. As for the total energy: -1.77 eV per atom.



First-principles (PBE) data for crystalline Zr2W at its relaxed geometry, as listed in Alexandria via LeMat-Bulk.

The structure belongs to space group P-62m (No. 189); the cell edges are 7.7682, 7.7682 and 3.6025 Å and the angles 90.00°, 90.00° and 120.00°. The inequivalent atoms are Zr at (0.0000, 0.2686, 0.0000), Zr at (0.0000, 0.6023, 0.5000), W at (0.0000, 0.0000, 0.5000) and W at (0.3333, 0.6667, 0.0000).

For the energy above the most stable polymorph in this dataset, the calculation gives 15.4 kJ/mol of atoms. For the formation energy, the calculation gives 0.25 eV/atom. As for the total energy: -9.77 eV per atom.



First-principles (PBE) data for crystalline ZrMn2Os at its relaxed geometry, as listed in Alexandria via LeMat-Bulk.

The structure belongs to space group Pm (No. 6); the cell edges are 2.814, 4.295 and 5.061 Å and the angles 90.00°, 101.96° and 90.00°. The inequivalent atoms are Zr at (0.000, 0.000, 0.000), Mn at (0.528, 0.000, 0.502), Mn at (0.656, 0.500, 0.252) and Os at (0.255, 0.500, 0.693).

For the energy above the most stable polymorph in this dataset, the calculation gives 13.3 kJ/mol of atoms. For the formation energy, the calculation gives 0.13 eV/atom. As for the total energy: -9.40 eV per atom.



First-principles (PBE) data for crystalline HfMgTiNb at its relaxed geometry, as listed in Alexandria via LeMat-Bulk.

The structure belongs to space group F-43m (No. 216); the cell edges are 6.745, 6.745 and 6.745 Å and the angles 90.00°, 90.00° and 90.00°. The inequivalent atoms are Hf at (0.000, 0.000, 0.000), Mg at (0.250, 0.250, 0.250), Ti at (0.000, 0.000, 0.500) and Nb at (0.250, 0.250, 0.750).

For the energy above the most stable polymorph in this dataset, the calculation gives 0.0 kJ/mol of atoms. For the formation energy, the calculation gives 0.15 eV/atom. As for the total energy: -7.22 eV per atom.



First-principles (PBE) data for crystalline BeFe2Cl at its relaxed geometry, as listed in Alexandria via LeMat-Bulk.

The structure belongs to space group Pmm2 (No. 25); the cell edges are 2.961, 3.087 and 6.305 Å and the angles 90.00°, 90.00° and 90.00°. The inequivalent atoms are Be at (0.000, 0.000, 0.000), Fe at (0.000, 0.000, 0.364), Fe at (0.500, 0.500, 0.180) and Cl at (0.500, 0.000, 0.769).

For the energy above the most stable polymorph in this dataset, the calculation gives 0.0 kJ/mol of atoms. As for the total energy: -5.54 eV per atom.



First-principles (PBE) data for crystalline ZnTe3 at its relaxed geometry, as listed in Alexandria via LeMat-Bulk.

The structure belongs to space group Cmmm (No. 65); the cell edges are 6.057, 8.714 and 4.220 Å and the angles 90.00°, 90.00° and 90.00°. The inequivalent atoms are Zn at (0.000, 0.000, 0.000), Te at (0.000, 0.222, 0.500) and Te at (0.000, 0.500, 0.000).

As for the total energy: -2.68 eV per atom.



First-principles (PBE) data for crystalline KHf2Te4 at its relaxed geometry, as listed in Alexandria via LeMat-Bulk.

The structure belongs to space group Cmcm (No. 63); the cell edges are 4.230, 13.939 and 14.761 Å and the angles 90.00°, 90.00° and 90.00°. The inequivalent atoms are K at (0.000, 0.111, 0.250), Hf at (0.000, 0.371, 0.065), Te at (0.000, 0.000, 0.000), Te at (0.000, 0.268, 0.608) and Te at (0.000, 0.421, 0.250).

For the energy above the most stable polymorph in this dataset, the calculation gives 8.5 kJ/mol of atoms. As for the total energy: -5.57 eV per atom.



First-principles (PBE) data for crystalline KBaCa2Cu at its relaxed geometry, as listed in Alexandria via LeMat-Bulk.

The structure belongs to space group P4/mmm (No. 123); the cell edges are 5.943, 5.943 and 6.319 Å and the angles 90.00°, 90.00° and 90.00°. The inequivalent atoms are K at (0.000, 0.000, 0.000), Ba at (0.500, 0.500, 0.000), Ca at (0.000, 0.500, 0.500) and Cu at (0.500, 0.500, 0.500).

For the energy above the most stable polymorph in this dataset, the calculation gives 0.0 kJ/mol of atoms. For the formation energy, the calculation gives 0.05 eV/atom. As for the total energy: -2.18 eV per atom.



First-principles (PBE) data for crystalline Pm2SmRh3 at its relaxed geometry, as listed in Alexandria via LeMat-Bulk.

The structure belongs to space group P2/m (No. 10); the cell edges are 4.999, 6.932 and 7.897 Å and the angles 90.00°, 108.32° and 90.00°. The inequivalent atoms are Pm at (0.000, 0.000, 0.000), Pm at (0.000, 0.500, 0.000), Pm at (0.333, 0.000, 0.667), Sm at (0.333, 0.500, 0.666), Rh at (0.167, 0.252, 0.334) and Rh at (0.500, 0.251, 0.000).

For the energy above the most stable polymorph in this dataset, the calculation gives 0.4 kJ/mol of atoms. For the formation energy, the calculation gives -0.70 eV/atom. As for the total energy: -6.74 eV per atom.



First-principles (PBE) data for crystalline Y2BeTc2 at its relaxed geometry, as listed in Alexandria via LeMat-Bulk.

The structure belongs to space group P4/mbm (No. 127); the cell edges are 6.588, 6.588 and 4.522 Å and the angles 90.00°, 90.00° and 90.00°. The inequivalent atoms are Y at (0.179, 0.321, 0.000), Be at (0.000, 0.000, 0.500) and Tc at (0.128, 0.628, 0.500).

For the energy above the most stable polymorph in this dataset, the calculation gives 0.0 kJ/mol of atoms. For the formation energy, the calculation gives 0.08 eV/atom. As for the total energy: -7.39 eV per atom.



First-principles (PBE) data for crystalline Dy7GeBr12 at its relaxed geometry, as listed in Alexandria via LeMat-Bulk.

The structure belongs to space group R-3 (No. 148, hexagonal axes); the cell edges are 14.8025, 14.8025 and 9.8295 Å and the angles 90.00°, 90.00° and 120.00°. The inequivalent atoms are Dy at (0.0000, 0.0000, 0.0000), Dy at (0.0473, 0.1688, 0.3432), Ge at (0.0000, 0.0000, 0.5000), Br at (0.0237, 0.5869, 0.1647) and Br at (0.0500, 0.1803, 0.8397).

As for the total energy: -4.44 eV per atom.



First-principles (PBE) data for crystalline Pr3SmNi8 at its relaxed geometry, as listed in Alexandria via LeMat-Bulk.

The structure belongs to space group R3m (No. 160, hexagonal axes); the cell edges are 5.1816, 5.1816 and 25.4357 Å and the angles 90.00°, 90.00° and 120.00°. The inequivalent atoms are Pr at (0.0000, 0.0000, 0.0000), Pr at (0.0000, 0.0000, 0.1252), Pr at (0.0000, 0.0000, 0.5009), Sm at (0.0000, 0.0000, 0.6255), Ni at (0.0000, 0.0000, 0.3127), Ni at (0.0000, 0.0000, 0.8130), Ni at (0.0000, 0.5000, 0.5636) and Ni at (0.1673, 0.3346, 0.3956).

For the formation energy, the calculation gives -0.30 eV/atom. As for the total energy: -5.74 eV per atom.



First-principles (PBE) data for crystalline La2PuRh at its relaxed geometry, as listed in Alexandria via LeMat-Bulk.

The structure belongs to space group P4/mmm (No. 123); the cell edges are 3.634, 3.634 and 8.490 Å and the angles 90.00°, 90.00° and 90.00°. The inequivalent atoms are La at (0.000, 0.000, 0.201), Pu at (0.500, 0.500, 0.500) and Rh at (0.500, 0.500, 0.000).

For the energy above the most stable polymorph in this dataset, the calculation gives 0.0 kJ/mol of atoms. For the formation energy, the calculation gives -0.23 eV/atom. As for the total energy: -8.11 eV per atom.



First-principles (PBE) data for crystalline Tm12Sc6Cd at its relaxed geometry, as listed in Alexandria via LeMat-Bulk.

The structure belongs to space group R-3 (No. 148, hexagonal axes); the cell edges are 11.3586, 11.3586 and 14.5460 Å and the angles 90.00°, 90.00° and 120.00°. The inequivalent atoms are Tm at (0.0129, 0.1850, 0.3168), Tm at (0.0485, 0.8476, 0.9128), Sc at (0.0288, 0.4346, 0.1933) and Cd at (0.0000, 0.0000, 0.5000).

For the formation energy, the calculation gives 0.11 eV/atom. As for the total energy: -4.76 eV per atom.



First-principles (PBE) data for crystalline PuCoNi at its relaxed geometry, as listed in Alexandria via LeMat-Bulk.

The structure belongs to space group Imma (No. 74); the cell edges are 4.961, 5.041 and 7.181 Å and the angles 90.00°, 90.00° and 90.00°. The inequivalent atoms are Pu at (0.000, 0.250, 0.125), Co at (0.000, 0.000, 0.500) and Ni at (0.250, 0.250, 0.750).

For the energy above the most stable polymorph in this dataset, the calculation gives 0.0 kJ/mol of atoms. For the formation energy, the calculation gives -0.20 eV/atom. As for the total energy: -9.27 eV per atom.



First-principles (PBE) data for crystalline NdTm5 at its relaxed geometry, as listed in Alexandria via LeMat-Bulk.

The structure belongs to space group Cmmm (No. 65); the cell edges are 4.977, 14.923 and 4.983 Å and the angles 90.00°, 90.00° and 90.00°. The inequivalent atoms are Nd at (0.000, 0.000, 0.000), Tm at (0.000, 0.168, 0.500), Tm at (0.000, 0.332, 0.000) and Tm at (0.000, 0.500, 0.500).

For the energy above the most stable polymorph in this dataset, the calculation gives 0.2 kJ/mol of atoms. For the formation energy, the calculation gives 0.03 eV/atom. As for the total energy: -4.49 eV per atom.



First-principles (PBE) data for crystalline Ac2CdGa3Ag4 at its relaxed geometry, as listed in Alexandria via LeMat-Bulk.

The structure belongs to space group P-4m2 (No. 115); the cell edges are 4.614, 4.614 and 10.993 Å and the angles 90.00°, 90.00° and 90.00°. The inequivalent atoms are Ac at (0.000, 0.500, 0.242), Cd at (0.000, 0.000, 0.500), Ga at (0.000, 0.500, 0.874), Ga at (0.500, 0.500, 0.500), Ag at (0.000, 0.000, 0.000), Ag at (0.000, 0.500, 0.640) and Ag at (0.500, 0.500, 0.000).

For the formation energy, the calculation gives -0.33 eV/atom. As for the total energy: -3.30 eV per atom.



First-principles (PBE) data for crystalline BaLaAl2Ir at its relaxed geometry, as listed in Alexandria via LeMat-Bulk.

The structure belongs to space group P4/mmm (No. 123); the cell edges are 5.045, 5.045 and 5.418 Å and the angles 90.00°, 90.00° and 90.00°. The inequivalent atoms are Ba at (0.000, 0.000, 0.000), La at (0.500, 0.500, 0.000), Al at (0.000, 0.500, 0.500) and Ir at (0.500, 0.500, 0.500).

For the formation energy, the calculation gives -0.37 eV/atom. As for the total energy: -5.01 eV per atom.



First-principles (PBE) data for crystalline Zr2InMo at its relaxed geometry, as listed in Alexandria via LeMat-Bulk.

The structure belongs to space group Cmmm (No. 65); the cell edges are 3.564, 5.051 and 9.301 Å and the angles 90.00°, 90.00° and 90.00°. The inequivalent atoms are Zr at (0.000, 0.000, 0.225), In at (0.000, 0.500, 0.500) and Mo at (0.000, 0.500, 0.000).

For the formation energy, the calculation gives -0.06 eV/atom. As for the total energy: -7.73 eV per atom.



First-principles (PBE) data for crystalline Ga3AgPt12 at its relaxed geometry, as listed in Alexandria via LeMat-Bulk.

The structure belongs to space group P4/mmm (No. 123); the cell edges are 3.969, 3.969 and 15.772 Å and the angles 90.00°, 90.00° and 90.00°. The inequivalent atoms are Ga at (0.000, 0.000, 0.000), Ga at (0.000, 0.000, 0.250), Ag at (0.000, 0.000, 0.500), Pt at (0.000, 0.500, 0.124), Pt at (0.000, 0.500, 0.370), Pt at (0.500, 0.500, 0.000), Pt at (0.500, 0.500, 0.247) and Pt at (0.500, 0.500, 0.500).

For the formation energy, the calculation gives -0.31 eV/atom. As for the total energy: -5.59 eV per atom.